Compound: MnAs3F
Source: the Alexandria database
Functional: PBE with a Hubbard U
Structure: relaxed

total moment	4.59	μB/f.u.
distance to the lowest polymorph of the same formula	0.00	eV/f.u.
electronic total energy	-4.387	eV/atom

Cell and atoms, written as CIF:
```
data_MnAs3F
_chemical_formula_sum 'Mn1 As3 F1'
_cell_length_a 4.571
_cell_length_b 4.571
_cell_length_c 4.571
_cell_angle_alpha 90.00
_cell_angle_beta 90.00
_cell_angle_gamma 90.00
_space_group_name_H-M_alt 'P m -3 m'
_space_group_IT_number 221
_space_group_name_Hall '-P 4 2 3'
loop_
_atom_site_label
_atom_site_type_symbol
_atom_site_fract_x
_atom_site_fract_y
_atom_site_fract_z
Mn1 Mn 0.000 0.000 0.000
As1 As 0.000 0.500 0.500
F1 F 0.500 0.500 0.500
```